# K4Ce3YSe8

A geometry-optimized K4Ce3YSe8 structure (PBE, the Alexandria database).

## Properties
ΔE_f (raw) = -1.706 eV/atom
D(E_F) = 18.475 states/eV/f.u.
E = -5.24 eV per atom
Spin magnetization = 3.009 μB per formula unit
Crystal system = trigonal

abc: 8.682 9.165 8.682
angles: 118.28 120.00 90.00
Sites, in units of the cell vectors:
K (0.500, 0.000, 0.000)
K (0.500, 0.000, 0.500)
K (0.000, 0.000, 0.000)
K (0.000, 0.000, 0.500)
Ce (0.500, 0.500, 0.000)
Ce (0.500, 0.500, 0.500)
Ce (0.000, 0.500, 0.500)
Y (0.000, 0.500, 0.000)
Se (0.233, 0.708, 0.976)
Se (0.232, 0.708, 0.465)
Se (0.263, 0.289, 0.526)
Se (0.743, 0.708, 0.976)
Se (0.257, 0.292, 0.024)
Se (0.737, 0.711, 0.474)
Se (0.768, 0.292, 0.535)
Se (0.767, 0.292, 0.024)